# 1
# Pm12Sm5Y

A relaxed Pm12Sm5Y crystal (PBE, the Alexandria database).

Values from the calculation:
Energy of formation in eV/f.u.: 1.0

a b c (Å): 10.5610 5.7619 10.6701
angles (deg): 90.00 109.69 90.00
With the nearest neighbours (Å) after each atom.
Space group P2/m (No. 10)
Unique sites:
Pm 0.0005 0.0000 0.1663 (multiplicity 2)  9 Pm 3.54-3.78, 1 Y 3.56, 4 Sm 3.77-3.78
Pm 0.1672 0.5000 0.0561 (multiplicity 2)  2 Pm 3.33-3.57, 3 Sm 3.33-3.57
Pm 0.1672 0.5000 0.7218 (multiplicity 2)  2 Sm 3.30-3.53, 3 Pm 3.31-3.57
Pm 0.3304 0.0000 0.7759 (multiplicity 2)  3 Pm 3.31-3.55, 2 Sm 3.32-3.56
Pm 0.3325 0.0000 0.4442 (multiplicity 2)  3 Sm 3.33-3.57, 2 Pm 3.33-3.55
Pm 0.4993 0.5000 0.3333 (multiplicity 2)  9 Pm 3.55-3.78, 5 Sm 3.56-3.78
Sm 0.1645 0.5000 0.3900 (multiplicity 2)  5 Pm 3.30-3.57
Sm 0.3361 0.0000 0.1110 (multiplicity 2)  5 Pm 3.32-3.57
Sm 0.5000 0.5000 0.0000 (multiplicity 1)  10 Pm 3.56-3.79, 4 Sm 3.75
Y 0.0000 0.0000 0.5000 (multiplicity 1)  10 Pm 3.56-3.77, 4 Sm 3.75


# 2
# Pm4Sm6Y

A relaxed Pm4Sm6Y crystal (PBE, the Alexandria database).

Values from the calculation:
Energy of formation in eV/f.u.: 3.2
Relative energy among the computed polymorphs in meV/atom: 0

a b c (Å): 6.6879 6.6879 17.3049
angles (deg): 90.00 90.00 90.00
With the nearest neighbours (Å) after each atom.
Space group I-42m (No. 121)
Unique sites:
Pm 0.1887 0.1887 0.1770 (multiplicity 8)  5 Sm 3.39-3.64, 1 Y 3.54, 1 Pm 3.57
Sm 0.0000 0.5000 0.0000 (multiplicity 4)  4 Sm 3.30, 2 Y 3.34
Sm 0.1771 0.1771 0.3727 (multiplicity 8)  3 Sm 3.30-3.35, 5 Pm 3.39-3.64
Y 0.0000 0.0000 0.0000 (multiplicity 2)  4 Sm 3.34, 4 Pm 3.54